(1)
4
Lattice="3.831 0.000 0.000 1.916 3.318 0.000 1.916 1.106 8.793" Properties=species:S:1:pos:R:3 comment="Pr2GdF PBE relaxed" space_group="R-3m, No. 166" formation_energy_uncorrected_ev_per_atom=-1.13 pbc="T T T"
Pr 5.747 3.318 7.292
Pr 1.916 1.106 1.501
F 0.000 0.000 0.000
Gd 3.831 2.212 4.397



(2)
20
Lattice="-2.281 0.764 6.504 5.654 -4.001 0.340 2.124 6.258 -2.104" Properties=species:S:1:pos:R:3 comment="Li4Pu3BiO12 PBE relaxed" space_group="R32, No. 155" formation_energy_uncorrected_ev_per_atom=-2.18 pbc="T T T"
O 3.408 4.916 -0.399
O 5.871 -0.365 -0.055
O 2.165 3.205 1.967
O 2.021 0.603 3.792
O 1.359 5.547 1.409
O 1.015 -0.651 5.758
O 2.869 -2.363 4.533
O 5.223 -2.156 2.004
O -0.159 4.636 3.584
O -0.177 1.887 5.687
O 5.326 2.143 -1.187
O 4.059 0.723 1.352
Bi 0.000 0.000 0.000
Li -0.723 3.595 5.067
Li 4.675 3.914 -1.395
Li 2.748 1.511 2.370
Li 4.293 -2.978 3.440
Pu 0.175 3.828 1.704
Pu 1.229 -1.344 3.778
Pu 4.092 0.537 -0.741



(3)
5
Lattice="-3.268 0.973 1.762 -1.990 -2.070 -2.547 0.309 -3.124 2.298" Properties=species:S:1:pos:R:3 comment="Cr2ReHW PBE relaxed" relative_energy_mev_per_atom=4 space_group="P4/mmm, No. 123" pbc="T T T"
H 0.000 0.000 0.000
Re 0.154 -1.562 1.149
Cr -1.634 0.487 0.881
Cr -0.995 -1.035 -1.273
W -2.475 -2.110 0.757



(4)
4
Lattice="-0.409 -4.392 2.471 3.778 -1.599 2.955 -0.559 -0.031 5.025" Properties=species:S:1:pos:R:3 comment="EuMgAlAg PBE relaxed" space_group="F-43m, No. 216" ef_ev_per_atom=-0.1912 pbc="T T T"
Mg 1.405 -3.011 5.225
Al 2.108 -4.517 7.838
Ag 0.703 -1.506 2.613
Eu 0.000 0.000 0.000



(5)
5
Lattice="-2.579 -3.189 -2.461 1.094 -3.608 3.529 -3.899 1.241 2.478" Properties=species:S:1:pos:R:3 comment="NaSiPtSe2 PBE relaxed" space_group="P4/mmm, No. 123" formation_energy_uncorrected_ev_per_atom=0.71 pbc="T T T"
Na 0.547 -1.804 1.764
Si 0.000 0.000 0.000
Se -1.290 -1.595 -1.230
Se -1.949 0.620 1.239
Pt -2.692 -2.778 1.773



(6)
5
Lattice="5.438 0.000 0.000 0.000 5.438 0.000 0.000 0.000 4.940" Properties=species:S:1:pos:R:3 comment="RbPdSeBr2 PBE relaxed" relative_energy_mev_per_atom=0 space_group="P4/mmm, No. 123" formation_energy_uncorrected_ev_per_atom=-0.63 pbc="T T T"
Br 0.000 2.719 0.000
Br 2.719 0.000 0.000
Rb 2.719 2.719 2.470
Pd 0.000 0.000 0.000
Se 0.000 0.000 2.470



(7)
3
Lattice="4.288 0.000 0.000 0.000 5.423 0.000 0.000 -2.711 4.696" Properties=species:S:1:pos:R:3 comment="SrAcGa PBE relaxed" relative_energy_mev_per_atom=196 space_group="P3m1, No. 156" ef_ev_per_atom=-0.1204 pbc="T T T"
Sr 3.143 2.711 1.565
Ac 1.097 0.000 3.131
Ga 0.049 0.000 0.000



(8)
11
Lattice="3.710 0.000 -0.683 -1.478 14.258 -8.026 0.126 -3.207 11.093" Properties=species:S:1:pos:R:3 comment="Ac4Tb3Pr4 PBE relaxed" space_group="Immm, No. 71" ef_ev_per_atom=0.5132 pbc="T T T"
Pr 1.183 10.421 -3.990
Pr 1.174 0.630 6.374
Pr 1.664 5.781 -1.379
Pr 0.693 5.269 3.762
Tb 2.101 10.243 0.995
Tb -0.739 7.129 -4.013
Tb 0.256 0.808 1.389
Ac 0.607 12.032 -7.115
Ac 2.549 2.194 3.428
Ac -0.192 8.856 -1.045
Ac 1.624 2.225 -1.594



For reference, total moment by record: 7.52, 7.00, 0.00, 7.00, 0.00, 1.05, 0.00, 0.00 μB per cell.